# 1
Computed, not measured: a relaxed structure of AlIn2As at the GGA-PBE level of DFT.

- V: 23.311 Å³/atom
- Energy of formation from the pure elements: 0.038 eV per atom
- E: -3.43 eV/atom

Cell and atoms, written as POSCAR:
```
AlIn2As
1.0
3.523 0.468 0.000
-0.465 3.523 0.000
0.000 0.000 7.383
In As Al
2 1 1
Direct
0.500 0.500 0.280 In
0.000 0.000 0.984 In
0.500 0.500 0.682 As
0.000 0.000 0.553 Al
```

# 2
Computed, not measured: a relaxed structure of AlInAs2 at the GGA-PBE level of DFT.

- V: 22.898 Å³/atom
- Energy of formation from the pure elements: -0.114 eV per atom
- E: -4.06 eV/atom

Cell and atoms, written as POSCAR:
```
AlInAs2
1.0
-2.649 2.537 0.658
-2.619 -2.538 -0.757
-0.119 -1.773 6.355
In Al As
1 1 2
Direct
0.000 0.000 0.434 In
0.500 0.500 0.924 Al
0.500 0.500 0.302 As
0.000 0.000 0.840 As
```

# 3
Computed, not measured: a relaxed structure of AlInAs2 at the GGA-PBE level of DFT.

- V: 21.466 Å³/atom
- Energy of formation from the pure elements: 0.196 eV per atom
- E: -3.75 eV/atom

Cell and atoms, written as POSCAR:
```
AlInAs2
1.0
6.226 0.984 0.000
3.080 5.499 0.000
-4.653 -3.242 2.752
In Al As
1 1 2
Direct
0.500 0.500 0.000 In
0.750 0.250 0.500 Al
0.250 0.750 0.500 As
0.000 0.000 0.000 As
```

# 4
Computed, not measured: a relaxed structure of AlIn2As at the GGA-PBE level of DFT.

- V: 22.728 Å³/atom
- Energy of formation from the pure elements: 0.215 eV per atom
- E: -3.25 eV/atom

Cell and atoms, written as POSCAR:
```
AlIn2As
1.0
-1.129 -0.856 2.742
2.979 -0.770 0.238
2.004 8.866 3.592
As Al In
1 1 2
Direct
0.500 0.500 0.750 As
0.500 0.500 0.250 Al
0.000 0.000 0.001 In
0.000 0.000 0.499 In
```

# 5
Computed, not measured: a relaxed structure of AlIn2As at the GGA-PBE level of DFT.

- V: 23.131 Å³/atom
- Energy of formation from the pure elements: 0.119 eV per atom
- E: -3.35 eV/atom

Cell and atoms, written as POSCAR:
```
AlIn2As
1.0
-2.744 2.738 -1.174
-0.443 -1.495 -2.451
-5.659 -4.149 3.551
Al In As
1 2 1
Direct
0.500 0.250 0.250 Al
0.000 0.750 0.011 In
0.000 0.750 0.489 In
0.500 0.750 0.750 As
```

# 6
Computed, not measured: a relaxed structure of AlIn2As at the GGA-PBE level of DFT.

- V: 22.750 Å³/atom
- Energy of formation from the pure elements: 0.217 eV per atom
- E: -3.25 eV/atom

Cell and atoms, written as POSCAR:
```
AlIn2As
1.0
3.078 0.000 0.000
0.000 3.078 0.000
0.000 0.000 9.604
As Al In
1 1 2
Direct
0.500 0.500 0.750 As
0.500 0.500 0.250 Al
0.000 0.000 0.003 In
0.000 0.000 0.497 In
```

# 7
Computed, not measured: a relaxed structure of AlInAs2 at the GGA-PBE level of DFT.

- V: 21.344 Å³/atom
- Energy of formation from the pure elements: 0.123 eV per atom
- E: -3.82 eV/atom

Cell and atoms, written as POSCAR:
```
AlInAs2
1.0
3.146 -0.002 0.000
-0.936 3.004 0.000
0.000 0.000 9.038
As In Al
2 1 1
Direct
0.000 0.000 0.549 As
0.000 0.000 0.951 As
0.500 0.500 0.250 In
0.500 0.500 0.750 Al
```

# 8
Computed, not measured: a relaxed structure of AlIn2As at the GGA-PBE level of DFT.

- V: 22.834 Å³/atom
- Energy of formation from the pure elements: 0.219 eV per atom
- E: -3.25 eV/atom

Cell and atoms, written as POSCAR:
```
AlIn2As
1.0
-7.589 3.098 6.749
-6.755 0.390 8.183
-5.141 3.061 8.772
Al In As
1 2 1
Direct
0.250 0.250 0.250 Al
0.499 0.499 0.499 In
0.001 0.001 0.001 In
0.750 0.750 0.750 As
```

# 9
Computed, not measured: a relaxed structure of AlInAs2 at the GGA-PBE level of DFT.

- V: 20.410 Å³/atom
- Energy of formation from the pure elements: 0.208 eV per atom
- E: -3.74 eV/atom

Cell and atoms, written as POSCAR:
```
AlInAs2
1.0
0.000 3.443 3.443
3.443 0.000 3.443
3.443 3.443 0.000
As Al In
2 1 1
Direct
0.750 0.750 0.750 As
0.250 0.250 0.250 As
0.000 0.000 0.000 Al
0.500 0.500 0.500 In
```

# 10
Computed, not measured: a relaxed structure of AlInAs2 at the GGA-PBE level of DFT.

- V: 26.266 Å³/atom
- Energy of formation from the pure elements: -0.363 eV per atom
- E: -4.31 eV/atom

Cell and atoms, written as POSCAR:
```
AlInAs2
1.0
-4.421 0.516 -3.955
-1.987 -5.404 1.515
-6.647 -0.010 2.947
In As Al
2 4 2
Direct
0.750 0.250 0.500 In
0.000 0.000 0.000 In
0.875 0.848 0.750 As
0.598 0.125 0.250 As
0.375 0.402 0.750 As
0.152 0.625 0.250 As
0.250 0.750 0.500 Al
0.500 0.500 0.000 Al
```

# 11
Computed, not measured: a relaxed structure of AlIn2As at the GGA-PBE level of DFT.

- V: 24.497 Å³/atom
- Energy of formation from the pure elements: -0.049 eV per atom
- E: -3.52 eV/atom

Cell and atoms, written as POSCAR:
```
AlIn2As
1.0
7.883 0.001 0.001
6.933 3.751 0.001
6.933 1.756 3.315
In As Al
2 1 1
Direct
0.011 0.011 0.011 In
0.242 0.242 0.242 In
0.764 0.764 0.764 As
0.483 0.483 0.483 Al
```

# 12
Computed, not measured: a relaxed structure of Al3InAs at the GGA-PBE level of DFT.

- V: 26.751 Å³/atom
- Energy of formation from the pure elements: 0.875 eV per atom
- E: -2.85 eV/atom

Cell and atoms, written as POSCAR:
```
Al3InAs
1.0
5.114 0.000 0.000
0.000 5.114 0.000
0.000 0.000 5.114
Al In As
3 1 1
Direct
0.000 0.500 0.000 Al
0.500 0.000 0.000 Al
0.000 0.000 0.500 Al
0.000 0.000 0.000 In
0.500 0.500 0.500 As
```

# 13
Computed, not measured: a relaxed structure of AlIn2As at the GGA-PBE level of DFT.

- V: 30.814 Å³/atom
- Energy of formation from the pure elements: 0.200 eV per atom
- E: -3.27 eV/atom

Cell and atoms, written as POSCAR:
```
AlIn2As
1.0
6.574 0.000 0.000
0.000 6.574 0.000
3.287 3.287 5.704
In As Al
4 2 2
Direct
0.115 0.625 0.250 In
0.635 0.125 0.250 In
0.875 0.885 0.750 In
0.375 0.365 0.750 In
0.000 0.000 0.000 As
0.750 0.250 0.500 As
0.250 0.750 0.500 Al
0.500 0.500 0.000 Al
```

# 14
Computed, not measured: a relaxed structure of AlInAs4 at the GGA-PBE level of DFT.

- V: 22.041 Å³/atom
- Energy of formation from the pure elements: 0.351 eV per atom
- E: -3.83 eV/atom

Cell and atoms, written as POSCAR:
```
AlInAs4
1.0
-0.728 -4.536 3.406
-5.243 -2.115 0.865
-1.449 -5.057 -2.243
As Al In
4 1 1
Direct
0.884 0.372 0.372 As
0.372 0.884 0.372 As
0.372 0.372 0.372 As
0.372 0.372 0.884 As
0.000 0.000 0.000 Al
0.750 0.750 0.750 In
```

# 15
Computed, not measured: a relaxed structure of AlIn2As at the GGA-PBE level of DFT.

- V: 22.909 Å³/atom
- Energy of formation from the pure elements: 0.168 eV per atom
- E: -3.30 eV/atom

Cell and atoms, written as POSCAR:
```
AlIn2As
1.0
4.857 0.006 0.000
-1.078 4.736 0.000
0.000 0.000 3.983
As In Al
1 2 1
Direct
0.000 0.500 0.500 As
0.500 0.500 0.000 In
0.000 0.000 0.000 In
0.500 0.000 0.500 Al
```

# 16
Computed, not measured: a relaxed structure of AlIn2As at the GGA-PBE level of DFT.

- V: 24.191 Å³/atom
- Energy of formation from the pure elements: 0.056 eV per atom
- E: -3.41 eV/atom

Cell and atoms, written as POSCAR:
```
AlIn2As
1.0
5.314 0.221 0.125
3.872 3.646 0.125
2.283 0.961 5.287
As Al In
1 1 2
Direct
0.185 0.185 0.225 As
0.558 0.558 0.540 Al
0.963 0.963 0.038 In
0.793 0.793 0.697 In
```

# 17
Computed, not measured: a relaxed structure of AlInAs2 at the GGA-PBE level of DFT.

- V: 20.818 Å³/atom
- Energy of formation from the pure elements: 0.260 eV per atom
- E: -3.68 eV/atom

Cell and atoms, written as POSCAR:
```
AlInAs2
1.0
3.707 0.000 0.000
0.000 4.732 0.000
0.000 0.000 4.747
In Al As
1 1 2
Direct
0.500 0.000 0.500 In
0.000 0.500 0.500 Al
0.000 0.000 0.000 As
0.500 0.500 0.000 As
```

# 18
Computed, not measured: a relaxed structure of AlInAs2 at the GGA-PBE level of DFT.

- V: 21.126 Å³/atom
- Energy of formation from the pure elements: 0.190 eV per atom
- E: -3.76 eV/atom

Cell and atoms, written as POSCAR:
```
AlInAs2
1.0
5.704 0.032 -0.012
2.413 5.169 0.012
-3.500 -3.472 2.869
Al As In
1 2 1
Direct
0.227 0.727 0.500 Al
0.985 0.985 0.000 As
0.781 0.281 0.500 As
0.508 0.508 0.000 In
```

# 19
Computed, not measured: a relaxed structure of AlIn2As at the GGA-PBE level of DFT.

- V: 22.972 Å³/atom
- Energy of formation from the pure elements: 0.193 eV per atom
- E: -3.27 eV/atom

Cell and atoms, written as POSCAR:
```
AlIn2As
1.0
-2.829 2.847 -3.734
1.982 -1.246 -4.957
-1.691 -3.214 4.107
Al In As
1 2 1
Direct
0.250 0.750 0.500 Al
0.000 0.000 0.000 In
0.500 0.500 0.000 In
0.750 0.250 0.500 As
```

# 20
Computed, not measured: a relaxed structure of Al3InAs at the GGA-PBE level of DFT.

- V: 24.264 Å³/atom
- Energy of formation from the pure elements: 0.476 eV per atom
- E: -3.25 eV/atom

Cell and atoms, written as POSCAR:
```
Al3InAs
1.0
4.950 0.000 0.000
0.000 4.950 0.000
0.000 0.000 4.950
Al As In
3 1 1
Direct
0.500 0.000 0.000 Al
0.000 0.500 0.000 Al
0.000 0.000 0.500 Al
0.000 0.000 0.000 As
0.500 0.500 0.500 In
```